! GGA-PBE LiOsF2, optimized geometry; values from VASP
&SYSTEM
  ibrav = 0, nat = 16, ntyp = 3
/
ATOMIC_SPECIES
Li 6.94 Li.upf
Os 190.23 Os.upf
F 19.00 F.upf
CELL_PARAMETERS angstrom
4.780 0.000 0.000
0.000 4.780 0.000
0.000 0.000 8.175
ATOMIC_POSITIONS crystal
Li 0.000 0.000 0.000
Li 0.000 0.500 0.250
Li 0.500 0.000 0.750
Li 0.500 0.500 0.500
Os 0.000 0.000 0.500
Os 0.000 0.500 0.750
Os 0.500 0.000 0.250
Os 0.500 0.500 0.000
F 0.165 0.250 0.125
F 0.250 0.665 0.375
F 0.250 0.835 0.875
F 0.335 0.250 0.625
F 0.665 0.750 0.625
F 0.750 0.165 0.875
F 0.750 0.335 0.375
F 0.835 0.750 0.125
! Total magnetic moment in μB/f.u.: 0.00
! Offset from the most stable computed form in meV/atom: 1044
! Formation energy from raw total energies in eV/f.u.: -2.58
! Crystal system: tetragonal
! Total DFT energy (no corrections) in Ha/atom: -0.179

=====

! GGA-PBE LiPOs2F, optimized geometry; values from VASP
&SYSTEM
  ibrav = 0, nat = 5, ntyp = 4
/
ATOMIC_SPECIES
Li 6.94 Li.upf
P 30.97 P.upf
Os 190.23 Os.upf
F 19.00 F.upf
CELL_PARAMETERS angstrom
4.231 0.000 0.000
0.000 4.231 0.000
0.000 0.000 3.865
ATOMIC_POSITIONS crystal
Li 0.000 0.000 0.000
P 0.000 0.000 0.500
Os 0.000 0.500 0.000
Os 0.500 0.000 0.000
F 0.500 0.500 0.500
! Total magnetic moment in μB/f.u.: 3.09
! Formation energy from raw total energies in eV/f.u.: 7.24
! Crystal system: tetragonal
! Total DFT energy (no corrections) in Ha/atom: -0.179

=====

! GGA-PBE RbLi2OsF8, optimized geometry; values from VASP
&SYSTEM
  ibrav = 0, nat = 12, ntyp = 4
/
ATOMIC_SPECIES
Rb 85.47 Rb.upf
Li 6.94 Li.upf
Os 190.23 Os.upf
F 19.00 F.upf
CELL_PARAMETERS angstrom
5.092 0.000 0.000
-2.546 4.410 0.000
0.000 0.000 8.621
ATOMIC_POSITIONS crystal
Rb 0.000 0.000 0.000
Li 0.333 0.667 0.738
Li 0.667 0.333 0.262
Os 0.000 0.000 0.500
F 0.014 0.311 0.632
F 0.297 0.986 0.632
F 0.311 0.297 0.368
F 0.333 0.667 0.937
F 0.667 0.333 0.063
F 0.689 0.703 0.632
F 0.703 0.014 0.368
F 0.986 0.689 0.368
! Total magnetic moment in μB/f.u.: 3.07
! Formation energy from raw total energies in eV/f.u.: -27.00
! Crystal system: trigonal
! Total DFT energy (no corrections) in Ha/atom: -0.178

=====

! GGA-PBE Rb2Li3OsF12, optimized geometry; values from VASP
&SYSTEM
  ibrav = 0, nat = 18, ntyp = 4
/
ATOMIC_SPECIES
Rb 85.47 Rb.upf
Li 6.94 Li.upf
Os 190.23 Os.upf
F 19.00 F.upf
CELL_PARAMETERS angstrom
3.538 2.043 6.717
-3.538 2.043 6.717
0.000 -4.086 6.717
ATOMIC_POSITIONS crystal
Rb 0.092 0.092 0.092
Rb 0.908 0.908 0.908
Li 0.000 0.500 0.500
Li 0.500 0.000 0.500
Li 0.500 0.500 0.000
Os 0.500 0.500 0.500
F 0.179 0.179 0.574
F 0.179 0.574 0.179
F 0.189 0.576 0.576
F 0.424 0.424 0.811
F 0.424 0.811 0.424
F 0.426 0.821 0.821
F 0.574 0.179 0.179
F 0.576 0.189 0.576
F 0.576 0.576 0.189
F 0.811 0.424 0.424
F 0.821 0.426 0.821
F 0.821 0.821 0.426
! Total magnetic moment in μB/f.u.: 4.59
! Formation energy from raw total energies in eV/f.u.: -38.91
! Crystal system: trigonal
! Total DFT energy (no corrections) in Ha/atom: -0.164

=====

! GGA-PBE Rb2LiOsF, optimized geometry; values from VASP
&SYSTEM
  ibrav = 0, nat = 5, ntyp = 4
/
ATOMIC_SPECIES
Rb 85.47 Rb.upf
Li 6.94 Li.upf
Os 190.23 Os.upf
F 19.00 F.upf
CELL_PARAMETERS angstrom
6.447 0.000 0.000
0.000 6.447 0.000
0.000 0.000 3.322
ATOMIC_POSITIONS crystal
Rb 0.000 0.500 0.000
Rb 0.500 0.000 0.000
Li 0.000 0.000 0.000
Os 0.500 0.500 0.500
F 0.000 0.000 0.500
! Total magnetic moment in μB/f.u.: 1.67
! Formation energy from raw total energies in eV/f.u.: 0.23
! Crystal system: tetragonal
! Total DFT energy (no corrections) in Ha/atom: -0.123

=====

! GGA-PBE Li2OsRhF, optimized geometry; values from VASP
&SYSTEM
  ibrav = 0, nat = 5, ntyp = 4
/
ATOMIC_SPECIES
Li 6.94 Li.upf
Os 190.23 Os.upf
Rh 102.91 Rh.upf
F 19.00 F.upf
CELL_PARAMETERS angstrom
4.853 0.000 0.000
0.000 4.853 0.000
0.000 0.000 3.796
ATOMIC_POSITIONS crystal
Li 0.000 0.500 0.000
Li 0.500 0.000 0.000
Os 0.000 0.000 0.000
Rh 0.500 0.500 0.500
F 0.000 0.000 0.500
! Total magnetic moment in μB/f.u.: 1.66
! Formation energy from raw total energies in eV/f.u.: 3.96
! Crystal system: tetragonal
! Total DFT energy (no corrections) in Ha/atom: -0.149

=====

! GGA-PBE Li2OsRuF, optimized geometry; values from VASP
&SYSTEM
  ibrav = 0, nat = 5, ntyp = 4
/
ATOMIC_SPECIES
Li 6.94 Li.upf
Os 190.23 Os.upf
Ru 101.07 Ru.upf
F 19.00 F.upf
CELL_PARAMETERS angstrom
3.574 0.000 0.000
0.000 3.574 0.000
0.000 0.000 5.207
ATOMIC_POSITIONS crystal
Li 0.000 0.500 0.000
Li 0.500 0.000 0.000
Os 0.000 0.000 0.500
Ru 0.500 0.500 0.500
F 0.500 0.500 0.000
! Total magnetic moment in μB/f.u.: 0.00
! Formation energy from raw total energies in eV/f.u.: -1.73
! Crystal system: tetragonal
! Total DFT energy (no corrections) in Ha/atom: -0.205

=====

! GGA-PBE LiOsRu2F, optimized geometry; values from VASP
&SYSTEM
  ibrav = 0, nat = 5, ntyp = 4
/
ATOMIC_SPECIES
Li 6.94 Li.upf
Os 190.23 Os.upf
Ru 101.07 Ru.upf
F 19.00 F.upf
CELL_PARAMETERS angstrom
4.222 0.000 0.000
0.000 4.222 0.000
0.000 0.000 4.139
ATOMIC_POSITIONS crystal
Li 0.000 0.000 0.000
Os 0.500 0.500 0.000
Ru 0.000 0.500 0.500
Ru 0.500 0.000 0.500
F 0.500 0.500 0.500
! Total magnetic moment in μB/f.u.: 1.74
! Formation energy from raw total energies in eV/f.u.: 6.17
! Crystal system: tetragonal
! Total DFT energy (no corrections) in Ha/atom: -0.201

=====

! GGA-PBE Li2OsSeF, optimized geometry; values from VASP
&SYSTEM
  ibrav = 0, nat = 5, ntyp = 4
/
ATOMIC_SPECIES
Li 6.94 Li.upf
Os 190.23 Os.upf
Se 78.96 Se.upf
F 19.00 F.upf
CELL_PARAMETERS angstrom
3.598 0.000 0.000
0.000 3.598 0.000
0.000 0.000 5.675
ATOMIC_POSITIONS crystal
Li 0.000 0.500 0.000
Li 0.500 0.000 0.000
Os 0.000 0.000 0.500
Se 0.500 0.500 0.500
F 0.500 0.500 0.000
! Total magnetic moment in μB/f.u.: 0.13
! Formation energy from raw total energies in eV/f.u.: -3.24
! Crystal system: tetragonal
! Total DFT energy (no corrections) in Ha/atom: -0.174

=====

! GGA-PBE SrLiOsF2, optimized geometry; values from VASP
&SYSTEM
  ibrav = 0, nat = 5, ntyp = 4
/
ATOMIC_SPECIES
Sr 87.62 Sr.upf
Li 6.94 Li.upf
Os 190.23 Os.upf
F 19.00 F.upf
CELL_PARAMETERS angstrom
4.162 0.000 0.000
0.000 4.162 0.000
0.000 0.000 5.516
ATOMIC_POSITIONS crystal
Sr 0.000 0.000 0.000
Li 0.000 0.000 0.500
Os 0.500 0.500 0.000
F 0.000 0.500 0.500
F 0.500 0.000 0.500
! Total magnetic moment in μB/f.u.: 3.00
! Formation energy from raw total energies in eV/f.u.: -2.44
! Crystal system: tetragonal
! Total DFT energy (no corrections) in Ha/atom: -0.154

=====

! GGA-PBE Li3Tl2OsF12, optimized geometry; values from VASP
&SYSTEM
  ibrav = 0, nat = 18, ntyp = 4
/
ATOMIC_SPECIES
Li 6.94 Li.upf
Tl 204.38 Tl.upf
Os 190.23 Os.upf
F 19.00 F.upf
CELL_PARAMETERS angstrom
3.322 1.918 7.420
-3.322 1.918 7.420
0.000 -3.836 7.420
ATOMIC_POSITIONS crystal
Li 0.000 0.500 0.500
Li 0.500 0.000 0.500
Li 0.500 0.500 0.000
Tl 0.075 0.075 0.075
Tl 0.925 0.925 0.925
Os 0.500 0.500 0.500
F 0.149 0.149 0.596
F 0.149 0.596 0.149
F 0.180 0.585 0.585
F 0.404 0.850 0.851
F 0.415 0.415 0.820
F 0.415 0.820 0.415
F 0.585 0.180 0.585
F 0.585 0.585 0.180
F 0.596 0.149 0.150
F 0.820 0.415 0.415
F 0.850 0.404 0.850
F 0.850 0.851 0.404
! Total magnetic moment in μB/f.u.: 4.41
! Formation energy from raw total energies in eV/f.u.: -36.12
! Crystal system: trigonal
! Total DFT energy (no corrections) in Ha/atom: -0.164

=====

! GGA-PBE LiPF5, optimized geometry; values from VASP
&SYSTEM
  ibrav = 0, nat = 14, ntyp = 3
/
ATOMIC_SPECIES
Li 6.94 Li.upf
P 30.97 P.upf
F 19.00 F.upf
CELL_PARAMETERS angstrom
4.784 0.000 0.000
-0.214 5.800 0.000
-2.296 -1.607 7.283
ATOMIC_POSITIONS crystal
Li 0.000 0.000 0.000
Li 0.000 0.000 0.500
P 0.241 0.695 0.241
P 0.759 0.305 0.759
F 0.081 0.980 0.259
F 0.186 0.685 0.442
F 0.265 0.744 0.035
F 0.365 0.438 0.214
F 0.438 0.165 0.656
F 0.562 0.835 0.344
F 0.635 0.562 0.786
F 0.735 0.256 0.965
F 0.814 0.315 0.558
F 0.919 0.020 0.741
! Total magnetic moment in μB/f.u.: 1.00
! Formation energy from raw total energies in eV/f.u.: -16.78
! Crystal system: triclinic
! Total DFT energy (no corrections) in Ha/atom: -0.176